Entry from the Alexandria database: a relaxed structure of La2ZrSb (PBE).

It has space group P4/mmm (No. 123), with a = 3.557 Å, b = 3.557 Å, c = 9.590 Å, α = 90.00°, β = 90.00° and γ = 90.00°. Symmetry generates all atoms from La at (0.000, 0.000, 0.238), Zr at (0.500, 0.500, 0.500) and Sb at (0.500, 0.500, 0.000).

The total energy comes out at -5.8701 eV/atom. For the calculated density, the calculation gives 6.72 g cm⁻³. Its energy relative to the elements, uncorrected is -1.0 eV per formula unit.

Entry from the Alexandria database: a relaxed structure of LaZr2Sb (PBE).

It has space group F-43m (No. 216), with a = 7.433 Å, b = 7.433 Å, c = 7.433 Å, α = 90.00°, β = 90.00° and γ = 90.00°. Symmetry generates all atoms from La at (0.000, 0.000, 0.000), Zr at (0.000, 0.000, 0.500), Zr at (0.250, 0.250, 0.750) and Sb at (0.250, 0.250, 0.250).

The total energy comes out at -6.6609 eV/atom. For the calculated density, the calculation gives 7.17 g cm⁻³. Its energy relative to the elements, uncorrected is -0.5 eV per formula unit.

Entry from the Alexandria database: a relaxed structure of LaZr4Sb (PBE).

It has space group F-43m (No. 216), with a = 8.470 Å, b = 8.470 Å, c = 8.470 Å, α = 90.00°, β = 90.00° and γ = 90.00°. Symmetry generates all atoms from La at (0.000, 0.000, 0.000), Zr at (0.127, 0.127, 0.373) and Sb at (0.250, 0.250, 0.750).

The total energy comes out at -7.0711 eV/atom. For the calculated density, the calculation gives 6.84 g cm⁻³. Its energy relative to the elements, uncorrected is 0.8 eV per formula unit.